Record 1
An optimized crystal structure of AcLa4Pr6, computed with PBE.

Cell: 8.002 8.002 8.790 Å, 117.08 117.08 90.00°
Element x y z (fractional)
Ac: 0.500 0.500 0.000
La: 0.097 0.751 0.848
La: 0.903 0.903 0.152
La: 0.751 0.097 0.848
La: 0.249 0.249 0.152
Pr: 0.939 0.445 0.384
Pr: 0.445 0.939 0.384
Pr: 0.555 0.555 0.616
Pr: 0.000 0.500 0.000
Pr: 0.061 0.061 0.616
Pr: 0.500 0.000 0.000

Summary:
V   430.7 Å³/f.u.
Space-group type   I-42m
ΔE_f   31.5 kJ/mol of atoms
Distance to the lowest polymorph of the same formula   0.55 eV/f.u.

---

Record 2
An optimized crystal structure of AcLa5Pr7, computed with PBE.

Cell: 5.849 9.489 9.489 Å, 84.23 72.11 72.11°
Element x y z (fractional)
Ac: 0.062 0.001 0.001
La: 0.337 0.001 0.585
La: 0.922 0.000 0.413
La: 0.337 0.585 0.001
La: 0.922 0.413 0.000
La: 0.777 0.793 0.793
Pr: 0.662 0.375 0.375
Pr: 0.412 0.625 0.625
Pr: 0.036 0.374 0.626
Pr: 0.036 0.626 0.374
Pr: 0.362 0.207 0.207
Pr: 0.568 0.793 0.206
Pr: 0.568 0.206 0.793

Summary:
V   477.0 Å³/f.u.
Space-group type   Cm
ΔE_f   7.5 kJ/mol of atoms

---

Record 3
An optimized crystal structure of Ac6LaPr4, computed with PBE.

Cell: 8.708 8.708 8.946 Å, 119.12 119.12 90.00°
Element x y z (fractional)
Ac: 0.037 0.405 0.442
Ac: 0.405 0.037 0.442
Ac: 0.595 0.595 0.558
Ac: 0.000 0.500 0.000
Ac: 0.963 0.963 0.558
Ac: 0.500 0.000 0.000
La: 0.500 0.500 0.000
Pr: 0.098 0.771 0.869
Pr: 0.902 0.902 0.131
Pr: 0.771 0.098 0.869
Pr: 0.229 0.229 0.131

Summary:
V   492.2 Å³/f.u.
Space-group type   I-42m
ΔE_f   31.6 kJ/mol of atoms